Entry 1:
Compound: Li6Lu
Source: Alexandria
Functional: PBE-GGA
Structure: relaxed

Calculated values
energy of formation: 3.0 eV per formula unit
density of states at the Fermi level: 7.176 states/eV per cell
VASP energy: -13.0 eV per cell

Cell: 5.864 5.864 5.864 Å, 109.47 109.47 109.47°
Positions (direct):
Li 0.250 0.500 0.750
Li 0.250 0.750 0.500
Li 0.500 0.250 0.750
Li 0.500 0.750 0.250
Li 0.750 0.250 0.500
Li 0.750 0.500 0.250
Lu 0.000 0.000 0.000

=====

Entry 2:
Compound: Li2Lu
Source: Alexandria
Functional: PBE-GGA
Structure: relaxed

Calculated values
energy of formation: 0.4 eV per formula unit
density of states at the Fermi level: 3.364 states/eV per cell
VASP energy: -16.0 eV per cell

Cell: 5.762 5.762 5.762 Å, 60.00 60.00 60.00°
Positions (direct):
Li 0.000 0.000 0.000
Li 0.000 0.000 0.500
Li 0.000 0.500 0.000
Li 0.500 0.000 0.000
Lu 0.375 0.375 0.375
Lu 0.625 0.625 0.625

=====

Entry 3:
Compound: LiLu3
Source: Alexandria
Functional: PBE-GGA
Structure: relaxed

Calculated values
energy of formation: 0.9 eV per formula unit
distance to the lowest polymorph of the same formula: 130 meV per atom
density of states at the Fermi level: 6.734 states/eV per cell
VASP energy: -14.6 eV per cell

Cell: 4.798 4.798 4.798 Å, 90.00 90.00 90.00°
Positions (direct):
Li 0.000 0.000 0.000
Lu 0.000 0.500 0.500
Lu 0.500 0.000 0.500
Lu 0.500 0.500 0.000

=====

Entry 4:
Compound: LiLu3
Source: Alexandria
Functional: PBE-GGA
Structure: relaxed

Calculated values
energy of formation: 0.8 eV per formula unit
distance to the lowest polymorph of the same formula: 124 meV per atom
density of states at the Fermi level: 6.288 states/eV per cell
VASP energy: -14.6 eV per cell

Cell: 6.052 6.052 6.052 Å, 134.92 134.92 65.66°
Positions (direct):
Li 0.000 0.000 0.000
Lu 0.250 0.750 0.500
Lu 0.500 0.500 0.000
Lu 0.750 0.250 0.500

=====

Entry 5:
Compound: Li3Lu
Source: Alexandria
Functional: PBE-GGA
Structure: relaxed

Calculated values
energy of formation: 0.7 eV per formula unit
distance to the lowest polymorph of the same formula: 0 meV per atom
density of states at the Fermi level: 3.146 states/eV per cell
VASP energy: -9.6 eV per cell

Cell: 5.941 5.941 5.941 Å, 147.67 126.64 63.79°
Positions (direct):
Li 0.000 0.000 0.000
Li 0.226 0.726 0.500
Li 0.774 0.274 0.500
Lu 0.500 0.500 0.000

=====

Entry 6:
Compound: Li5Lu
Source: Alexandria
Functional: PBE-GGA
Structure: relaxed

Calculated values
energy of formation: 0.7 eV per formula unit
density of states at the Fermi level: 3.903 states/eV per cell
VASP energy: -13.4 eV per cell

Cell: 8.099 8.099 3.273 Å, 90.00 90.00 142.33°
Positions (direct):
Li 0.000 0.000 0.000
Li 0.153 0.847 0.500
Li 0.316 0.684 0.000
Li 0.684 0.316 0.000
Li 0.847 0.153 0.500
Lu 0.500 0.500 0.500

=====

Entry 7:
Compound: LiLu3
Source: Alexandria
Functional: PBE-GGA
Structure: relaxed

Calculated values
energy of formation: 0.7 eV per formula unit
distance to the lowest polymorph of the same formula: 90 meV per atom
density of states at the Fermi level: 2.188 states/eV per cell
VASP energy: -14.8 eV per cell

Cell: 5.341 5.341 5.341 Å, 60.00 60.00 60.00°
Positions (direct):
Li 0.000 0.000 0.000
Lu 0.250 0.250 0.250
Lu 0.500 0.500 0.500
Lu 0.750 0.750 0.750

=====

Entry 8:
Compound: Li3Lu
Source: Alexandria
Functional: PBE-GGA
Structure: relaxed

Calculated values
energy of formation: 0.9 eV per formula unit
distance to the lowest polymorph of the same formula: 51 meV per atom
density of states at the Fermi level: 8.677 states/eV per cell
VASP energy: -18.8 eV per cell

Cell: 6.420 6.420 5.033 Å, 90.00 90.00 120.00°
Positions (direct):
Li 0.156 0.312 0.250
Li 0.156 0.844 0.250
Li 0.312 0.156 0.750
Li 0.688 0.844 0.250
Li 0.844 0.156 0.750
Li 0.844 0.688 0.750
Lu 0.333 0.667 0.750
Lu 0.667 0.333 0.250

=====

Entry 9:
Compound: Li3Lu
Source: Alexandria
Functional: PBE-GGA
Structure: relaxed

Calculated values
energy of formation: 0.7 eV per formula unit
distance to the lowest polymorph of the same formula: 15 meV per atom
density of states at the Fermi level: 3.252 states/eV per cell
VASP energy: -9.5 eV per cell

Cell: 3.167 5.209 5.551 Å, 90.00 90.00 90.00°
Positions (direct):
Li 0.000 0.000 0.000
Li 0.000 0.500 0.297
Li 0.500 0.000 0.463
Lu 0.500 0.500 0.799

=====

Entry 10:
Compound: Li4LuMg
Source: Alexandria
Functional: PBE-GGA
Structure: relaxed

Calculated values
energy of formation: 0.2 eV per formula unit
density of states at the Fermi level: 7.381 states/eV per cell
VASP energy: -13.5 eV per cell

Cell: 5.618 5.618 5.618 Å, 60.00 60.00 60.00°
Positions (direct):
Li 0.376 0.376 0.376
Li 0.376 0.376 0.873
Li 0.376 0.873 0.376
Li 0.873 0.376 0.376
Lu 0.000 0.000 0.000
Mg 0.750 0.750 0.750

=====

Entry 11:
Compound: LiLu2Mg
Source: Alexandria
Functional: PBE-GGA
Structure: relaxed

Calculated values
energy of formation: 0.3 eV per formula unit
distance to the lowest polymorph of the same formula: 0 meV per atom
density of states at the Fermi level: 4.863 states/eV per cell
VASP energy: -12.3 eV per cell

Cell: 3.678 3.678 7.429 Å, 90.00 90.00 90.00°
Positions (direct):
Li 0.000 0.000 0.000
Lu 0.500 0.500 0.246
Lu 0.500 0.500 0.754
Mg 0.000 0.000 0.500

=====

Entry 12:
Compound: LiLu2Mg
Source: Alexandria
Functional: PBE-GGA
Structure: relaxed

Calculated values
energy of formation: 0.3 eV per formula unit
distance to the lowest polymorph of the same formula: 14 meV per atom
density of states at the Fermi level: 6.225 states/eV per cell
VASP energy: -12.2 eV per cell

Cell: 5.237 5.237 5.237 Å, 60.00 60.00 60.00°
Positions (direct):
Li 0.000 0.000 0.000
Lu 0.250 0.250 0.250
Lu 0.750 0.750 0.750
Mg 0.500 0.500 0.500